# 1
Material: BeCrCd2
Method: DFT, PBE
State: relaxed

Energy relative to the elements ... 0.4396 eV per atom

The structure in POSCAR format:
```
BeCrCd2
1.0
-1.573 2.324 4.526
1.573 -2.324 4.526
1.573 2.324 -4.526
Be Cr Cd
1 1 2
Direct
0.000 0.000 0.000
0.795 0.295 0.500
0.231 0.731 0.500
0.515 0.515 0.000
```

# 2
Material: BeCrCd2
Method: DFT, PBE
State: relaxed

Energy relative to the elements ... 0.6311 eV per atom

The structure in POSCAR format:
```
BeCrCd2
1.0
2.750 -4.067 0.000
2.750 4.067 0.000
0.000 0.000 2.805
Be Cr Cd
1 1 2
Direct
0.000 0.000 0.000
0.500 0.500 0.000
0.000 0.500 0.500
0.500 0.000 0.500
```

# 3
Material: BeCrCd2
Method: DFT, PBE
State: relaxed

Energy relative to the elements ... 0.4772 eV per atom

The structure in POSCAR format:
```
BeCrCd2
1.0
3.049 0.000 0.000
0.000 3.049 0.000
0.000 0.000 7.187
Be Cr Cd
1 1 2
Direct
0.000 0.000 0.000
0.000 0.000 0.500
0.500 0.500 0.227
0.500 0.500 0.773
```

# 4
Material: BeCrCd
Method: DFT, PBE
State: relaxed

Energy above the lowest structure with this stoichiometry ... 0.0 kJ/mol of atoms
Energy relative to the elements ... 0.4314 eV per atom

The structure in POSCAR format:
```
BeCrCd
1.0
5.243 -1.480 0.000
5.243 1.480 0.000
-0.830 0.000 2.840
Be Cr Cd
1 1 1
Direct
0.000 0.000 0.000
0.375 0.375 0.375
0.672 0.672 0.672
```

# 5
Material: BeCrCd
Method: DFT, PBE
State: relaxed

Energy above the lowest structure with this stoichiometry ... 15.3 kJ/mol of atoms
Energy relative to the elements ... 0.5900 eV per atom

The structure in POSCAR format:
```
BeCrCd
1.0
0.000 2.875 2.875
2.875 0.000 2.875
2.875 2.875 0.000
Be Cr Cd
1 1 1
Direct
0.000 0.000 0.000
0.250 0.250 0.250
0.750 0.750 0.750
```

# 6
Material: Be2CrCd
Method: DFT, PBE
State: relaxed

Energy relative to the elements ... 0.5936 eV per atom

The structure in POSCAR format:
```
Be2CrCd
1.0
1.325 0.765 8.443
-1.325 0.765 8.443
0.000 -1.530 8.443
Be Cr Cd
2 1 1
Direct
0.000 0.000 0.000
0.266 0.266 0.266
0.741 0.741 0.741
0.505 0.505 0.505
```

Number 1: uncorrected energy -3.355 eV/atom. Number 2: uncorrected energy -3.164 eV/atom. Number 3: uncorrected energy -3.318 eV/atom. Number 4: uncorrected energy -4.323 eV/atom. Number 5: uncorrected energy -4.165 eV/atom. Number 6: uncorrected energy -3.904 eV/atom.